ZnCdRe | PBE | optimized geometry

Unit cell a=2.8333 b=2.8333 c=7.1620 alpha=90.00 beta=90.00 gamma=120.00
Closest atoms and distances in Å follow each position.
Atoms (fractional coordinates):
Cd: 0.0000 0.0000 0.0002  6 Cd 2.83, 3 Re 2.99, 3 Zn 2.99
Zn: 0.3333 0.6667 0.6503  3 Re 2.70, 6 Zn 2.83, 3 Cd 2.99
Re: 0.6667 0.3333 0.3496  3 Zn 2.70, 6 Re 2.83, 3 Cd 2.99

Properties
ΔE_f	0.395	eV per atom
offset from the most stable computed form	0.2776	eV per atom
M_tot	0.0	Bohr magnetons per cell
SG	No. 156

***

ZnCd2Re | PBE | optimized geometry

Unit cell a=5.1934 b=5.1934 c=5.1934 alpha=134.46 beta=134.46 gamma=66.36
Closest atoms and distances in Å follow each position.
Atoms (fractional coordinates):
Cd: 0.0000 0.0000 0.0000  4 Re 2.84, 4 Zn 2.96, 4 Cd 2.96
Cd: 0.2500 0.7500 0.5000  4 Zn 2.84, 4 Cd 2.96, 4 Re 2.96
Re: 0.5000 0.5000 0.0000  8 Cd 2.84-2.96, 4 Zn 2.96
Zn: 0.7500 0.2500 0.5000  8 Cd 2.84-2.96, 4 Re 2.96

Properties
ΔE_f	0.623	eV per atom
M_tot	0.0	Bohr magnetons per cell
SG	No. 119

***

ZnCd2Re | PBE | optimized geometry

Unit cell a=10.2211 b=10.2211 c=10.2211 alpha=16.15 beta=16.15 gamma=16.15
Closest atoms and distances in Å follow each position.
Atoms (fractional coordinates):
Re: 0.4946 0.4946 0.4946  3 Zn 2.69, 6 Re 2.87, 3 Cd 2.97
Zn: 0.7579 0.7579 0.7579  3 Re 2.69, 6 Zn 2.87
Cd: 0.2428 0.2428 0.2428  6 Cd 2.87, 3 Re 2.97
Cd: 0.0047 0.0047 0.0047  6 Cd 2.87, 3 Zn 3.10

Properties
ΔE_f	0.349	eV per atom
M_tot	0.0	Bohr magnetons per cell
SG	No. 160

***

ZnCd2Re | PBE | optimized geometry

Unit cell a=4.5827 b=2.7900 c=5.6623 alpha=74.45 beta=90.00 gamma=90.00
Closest atoms and distances in Å follow each position.
Atoms (fractional coordinates):
Re: 0.5000 0.2500 0.2500  2 Re 2.79, 2 Zn 2.80, 8 Cd 2.99-3.03
Cd: 0.0000 0.5980 0.5007  4 Cd 2.74-2.97, 2 Zn 2.78, 4 Re 2.99-3.03
Cd: 0.0000 0.9020 0.9993  4 Cd 2.74-2.97, 2 Zn 2.78, 4 Re 2.99-3.03
Zn: 0.5000 0.7500 0.7500  4 Cd 2.78, 2 Zn 2.79, 2 Re 2.80

Properties
ΔE_f	0.498	eV per atom
M_tot	0.0	Bohr magnetons per cell
SG	No. 10

***

ZnCd2Re | PBE | optimized geometry

Unit cell a=2.8447 b=2.8447 c=9.8803 alpha=90.00 beta=90.00 gamma=116.79
Closest atoms and distances in Å follow each position.
Atoms (fractional coordinates):
Zn: 0.5000 0.5000 0.7336  2 Re 2.61, 4 Zn 2.84, 2 Cd 2.89
Re: 0.0000 0.0000 0.5168  2 Zn 2.61, 4 Re 2.84, 2 Cd 2.90
Cd: 0.0000 0.0000 0.9842  8 Cd 2.84-3.15, 2 Zn 2.89
Cd: 0.5000 0.5000 0.2654  8 Cd 2.84-3.15, 2 Re 2.90

Properties
ΔE_f	0.385	eV per atom
M_tot	0.0	Bohr magnetons per cell
SG	No. 35

***

Zn3CdRe | PBE | optimized geometry

Unit cell a=4.8594 b=4.8594 c=4.8594 alpha=90.00 beta=90.00 gamma=90.00
Closest atoms and distances in Å follow each position.
Atoms (fractional coordinates):
Re: 0.0000 0.0000 0.0000  6 Zn 2.43
Zn: 0.0000 0.0000 0.5000  2 Re 2.43
Zn: 0.0000 0.5000 0.0000  2 Re 2.43
Zn: 0.5000 0.0000 0.0000  2 Re 2.43
Cd: 0.5000 0.5000 0.5000  12 Zn 3.44

Properties
ΔE_f	0.892	eV per atom
offset from the most stable computed form	0.0000	eV per atom
M_tot	0.6	Bohr magnetons per cell
SG	No. 221

***

ZnCd2Re | PBE | optimized geometry

Unit cell a=5.0137 b=5.0137 c=5.2977 alpha=80.94 beta=80.94 gamma=32.49
Closest atoms and distances in Å follow each position.
Atoms (fractional coordinates):
Cd: 0.9962 0.9962 0.9989  5 Cd 2.81-2.99, 4 Re 2.93-3.07, 3 Zn 2.99-3.01
Cd: 0.7552 0.7552 0.7375  5 Cd 2.81-2.99, 2 Zn 2.81, 3 Re 2.92-2.95
Zn: 0.2430 0.2430 0.2822  3 Re 2.74-2.90, 2 Zn 2.81, 5 Cd 2.81-3.01
Re: 0.5056 0.5056 0.4814  3 Zn 2.74-2.90, 2 Re 2.81, 7 Cd 2.92-3.07

Properties
ΔE_f	0.447	eV per atom
M_tot	0.0	Bohr magnetons per cell
SG	No. 8

***

ZnCdRe | PBE | optimized geometry

Unit cell a=5.4506 b=5.4506 c=5.4506 alpha=150.56 beta=141.04 gamma=49.58
Closest atoms and distances in Å follow each position.
Atoms (fractional coordinates):
Re: 0.3165 0.3165 0.0000  4 Zn 2.65, 2 Re 2.77, 4 Cd 2.94
Cd: 0.0029 0.0029 0.0000  2 Cd 2.77, 4 Zn 2.88, 4 Re 2.94
Zn: 0.6806 0.6806 0.0000  4 Re 2.65, 2 Zn 2.77, 4 Cd 2.88

Properties
ΔE_f	0.550	eV per atom
offset from the most stable computed form	0.4322	eV per atom
M_tot	0.0	Bohr magnetons per cell
SG	No. 44

***

ZnCd2Re | PBE | optimized geometry

Unit cell a=2.8527 b=2.8527 c=8.8097 alpha=90.00 beta=90.00 gamma=90.00
Closest atoms and distances in Å follow each position.
Atoms (fractional coordinates):
Cd: 0.5000 0.5000 0.2723  4 Cd 2.85, 4 Re 2.96
Cd: 0.0000 0.0000 0.9825  4 Cd 2.85, 4 Zn 3.03
Zn: 0.5000 0.5000 0.7265  4 Re 2.72, 4 Zn 2.85, 4 Cd 3.03
Re: 0.0000 0.0000 0.5186  4 Zn 2.72, 4 Re 2.85, 4 Cd 2.96

Properties
ΔE_f	0.425	eV per atom
M_tot	0.6	Bohr magnetons per cell
SG	No. 99

***

ZnCdRe | PBE | optimized geometry

Unit cell a=4.3011 b=4.3011 c=4.3011 alpha=60.00 beta=60.00 gamma=60.00
Closest atoms and distances in Å follow each position.
Atoms (fractional coordinates):
Zn: 0.7500 0.7500 0.7500  4 Re 2.63, 4 Cd 2.63
Cd: 0.0000 0.0000 0.0000  4 Zn 2.63
Re: 0.5000 0.5000 0.5000  4 Zn 2.63

Properties
ΔE_f	1.051	eV per atom
offset from the most stable computed form	0.9335	eV per atom
M_tot	2.0	Bohr magnetons per cell
SG	No. 216

***

ZnCd2Re | PBE | optimized geometry

Unit cell a=3.9116 b=3.9116 c=10.2547 alpha=79.01 beta=79.01 gamma=90.00
Closest atoms and distances in Å follow each position.
Atoms (fractional coordinates):
Zn: 0.5000 0.5000 0.0000  4 Re 2.77, 4 Cd 2.83
Zn: 0.2500 0.7500 0.5000  4 Re 2.77, 4 Cd 2.83
Re: 0.0000 0.0000 0.0000  4 Zn 2.77, 4 Cd 2.82
Re: 0.7500 0.2500 0.5000  4 Zn 2.77, 4 Cd 2.82
Cd: 0.1211 0.6250 0.2500  4 Cd 2.74-2.79, 2 Re 2.82, 2 Zn 2.83
Cd: 0.3750 0.3711 0.7500  4 Cd 2.74-2.79, 2 Re 2.82, 2 Zn 2.83
Cd: 0.8750 0.8789 0.7500  4 Cd 2.74-2.79, 2 Re 2.82, 2 Zn 2.83
Cd: 0.6289 0.1250 0.2500  4 Cd 2.74-2.79, 2 Re 2.82, 2 Zn 2.83

Properties
ΔE_f	0.834	eV per atom
M_tot	0.0	Bohr magnetons per cell
SG	No. 122

***

ZnCdRe | PBE | optimized geometry

Unit cell a=2.9768 b=2.9768 c=11.7150 alpha=90.00 beta=90.00 gamma=90.00
Closest atoms and distances in Å follow each position.
Atoms (fractional coordinates):
Zn: 0.5000 0.0000 0.7170  4 Re 2.76, 4 Zn 2.98, 4 Cd 2.98
Zn: 0.0000 0.5000 0.2830  4 Re 2.76, 4 Zn 2.98, 4 Cd 2.98
Re: 0.0000 0.5000 0.5643  4 Re 2.59, 4 Zn 2.76
Re: 0.5000 0.0000 0.4357  4 Re 2.59, 4 Zn 2.76
Cd: 0.0000 0.5000 0.8969  8 Cd 2.98-3.20, 4 Zn 2.98
Cd: 0.5000 0.0000 0.1031  8 Cd 2.98-3.20, 4 Zn 2.98

Properties
ΔE_f	0.118	eV per atom
offset from the most stable computed form	0.0000	eV per atom
M_tot	0.0	Bohr magnetons per cell
SG	No. 129